# 1
Density functional theory data (PBE-GGA) for crystalline SiSb2AsI at its relaxed geometry.

Cell lengths 5.450, 5.450, 5.432 Å; angles 90.00, 90.00, 90.00 degrees
Space group P4/mmm (No. 123)
Unique sites:
Si 0.000 0.000 0.000 (multiplicity 1)
Sb 0.000 0.500 0.500 (multiplicity 2)
As 0.500 0.500 0.500 (multiplicity 1)
I 0.500 0.500 0.000 (multiplicity 1)

Calculated values
Fermi-level density of states = 6.3 states/eV/cell
Excess energy over the best structure of this formula in the dataset = 162.8 meV/atom
E_form (uncorrected) = 967 meV/atom

=====

# 2
Density functional theory data (PBE-GGA) for crystalline SiSbAs2I at its relaxed geometry.

Cell lengths 4.779, 4.779, 5.693 Å; angles 90.00, 90.00, 90.00 degrees
Space group P4/mmm (No. 123)
Unique sites:
Si 0.000 0.000 0.000 (multiplicity 1)
Sb 0.000 0.000 0.500 (multiplicity 1)
As 0.000 0.500 0.000 (multiplicity 2)
I 0.500 0.500 0.500 (multiplicity 1)

Calculated values
Fermi-level density of states = 3.3 states/eV/cell
E_form (uncorrected) = 590 meV/atom

=====

# 3
Density functional theory data (PBE-GGA) for crystalline SiSb2AsI at its relaxed geometry.

Cell lengths 5.332, 5.332, 5.171 Å; angles 90.00, 90.00, 90.00 degrees
Space group P4/mmm (No. 123)
Unique sites:
Si 0.000 0.000 0.000 (multiplicity 1)
Sb 0.000 0.500 0.000 (multiplicity 2)
As 0.500 0.500 0.500 (multiplicity 1)
I 0.000 0.000 0.500 (multiplicity 1)

Calculated values
Fermi-level density of states = 5.1 states/eV/cell
Excess energy over the best structure of this formula in the dataset = 0.0 meV/atom
E_form (uncorrected) = 804 meV/atom

=====

# 4
Density functional theory data (PBE-GGA) for crystalline SnSbAsI2 at its relaxed geometry.

Cell lengths 5.920, 5.920, 6.077 Å; angles 90.00, 90.00, 90.00 degrees
Space group P4/mmm (No. 123)
Unique sites:
Sn 0.000 0.000 0.000 (multiplicity 1)
Sb 0.000 0.000 0.500 (multiplicity 1)
As 0.500 0.500 0.500 (multiplicity 1)
I 0.000 0.500 0.000 (multiplicity 2)

Calculated values
Fermi-level density of states = 4.0 states/eV/cell
Excess energy over the best structure of this formula in the dataset = 269.5 meV/atom
E_form (uncorrected) = 639 meV/atom

=====

# 5
Density functional theory data (PBE-GGA) for crystalline SnSbAsI2 at its relaxed geometry.

Cell lengths 5.540, 5.540, 5.711 Å; angles 90.00, 90.00, 90.00 degrees
Space group P4/mmm (No. 123)
Unique sites:
Sn 0.000 0.000 0.000 (multiplicity 1)
Sb 0.500 0.500 0.000 (multiplicity 1)
As 0.500 0.500 0.500 (multiplicity 1)
I 0.000 0.500 0.500 (multiplicity 2)

Calculated values
Fermi-level density of states = 3.6 states/eV/cell
Excess energy over the best structure of this formula in the dataset = 0.0 meV/atom
E_form (uncorrected) = 369 meV/atom

=====

# 6
Density functional theory data (PBE-GGA) for crystalline Sr4SbAsI2 at its relaxed geometry.

Cell lengths 8.252, 4.740, 8.382 Å; angles 90.00, 109.10, 90.00 degrees
Space group P2/m (No. 10)
Unique sites:
Sr 0.225 0.000 0.202 (multiplicity 2)
Sr 0.254 0.500 0.794 (multiplicity 2)
Sb 0.500 0.000 0.000 (multiplicity 1)
As 0.000 0.500 0.000 (multiplicity 1)
I 0.000 0.000 0.500 (multiplicity 1)
I 0.500 0.500 0.500 (multiplicity 1)

Calculated values
E_form (uncorrected) = -1384 meV/atom

=====

| no. | magnetization (μB per atom) | E (eV per atom) |
| --- | --- | --- |
| 1 | 0.000 | -3.007 |
| 2 | 0.000 | -3.489 |
| 3 | 0.000 | -3.169 |
| 4 | 0.168 | -2.536 |
| 5 | 0.000 | -2.806 |
| 6 | 0.000 | -3.709 |